Entry 1:
TlPd6Au: optimized geometry, PBE.

Properties
DFT formation energy = -102 meV/atom
Raw total energy = -4.702 eV per atom
Relative energy among the computed polymorphs = 0.0 meV per atom

a = 4.6835 Å, b = 5.7156 Å, c = 5.7156 Å
α = 120.05°, β = 90.00°, γ = 90.00°
Fractional coordinates of all 8 atoms:
Pd 0.5000 0.9163 0.0837
Pd 0.0000 0.5863 0.4137
Pd 0.0000 0.0769 0.4139
Pd 0.0000 0.5861 0.9231
Pd 0.5000 0.4177 0.0836
Pd 0.5000 0.9164 0.5823
Tl 0.5000 0.4169 0.5831
Au 0.0000 0.0830 0.9170

Entry 2:
Pm3Y8Er: optimized geometry, PBE.

Properties
DFT formation energy = 635 meV/atom
Raw total energy = -5.242 eV per atom

a = 8.4272 Å, b = 8.4272 Å, c = 8.4272 Å
α = 94.67°, β = 117.34°, γ = 117.34°
Fractional coordinates of all 12 atoms:
Y 0.0000 0.6280 0.8804
Y 0.5113 0.7452 0.7452
Y 0.0000 0.7660 0.2548
Y 0.4887 0.2340 0.2340
Y 0.7477 0.1196 0.1196
Y 0.0000 0.2548 0.7660
Y 0.2523 0.3720 0.3720
Y 0.0000 0.8804 0.6280
Er 0.0000 0.0000 0.0000
Pm 0.5000 0.2500 0.7500
Pm 0.0000 0.5000 0.5000
Pm 0.5000 0.7500 0.2500

- Number 2 is which compound?
  Pm3Y8Er

- The lowest DFT formation energy belongs to which entry?
  TlPd6Au

- What is the raw total energy in the second record?
  -5.242 eV per atom